Er2Tm2Pt3 | PBE | relaxed

POSCAR file:
```
Er2Tm2Pt3
1.0
8.1294 -2.4138 -0.0834
8.1294 2.4138 -0.0834
7.4550 0.0000 4.0427
Er Tm Pt
2 2 3
Cartesian
2.9689 0.0000 0.4852
20.7449 0.0000 3.3907
8.8851 0.0000 1.4522
14.8287 0.0000 2.4237
0.0000 0.0000 0.0000
5.8493 0.0000 0.9560
17.8645 0.0000 2.9199
```

calculated formation energy = -774 kJ/mol of formula units

ErBe6Au6 | PBE | relaxed

POSCAR file:
```
ErBe6Au6
1.0
-1.0167 -0.7268 -4.7194
3.3028 -5.1491 -2.4437
-5.0212 -4.1886 -0.7984
Er Be Au
1 6 6
Cartesian
0.0000 0.0000 0.0000
1.6514 -2.5746 -1.2218
1.1430 -2.9380 -3.5816
-2.5106 -2.0943 -0.3992
-3.0189 -2.4577 -2.7589
0.8044 -5.2829 -4.4101
-3.5395 -4.7816 -3.5515
-1.4789 -6.3994 -3.7462
-1.2561 -3.6651 -4.2153
-2.2609 -4.5071 -1.3440
0.5425 -4.8306 -1.8981
-0.6328 -1.8905 -2.0977
-2.1023 -8.1741 -5.8638
```

calculated formation energy = -368 kJ/mol of formula units

CaCd2Ag | PBE | relaxed

POSCAR file:
```
CaCd2Ag
1.0
-1.9485 -4.0388 -1.4327
2.7259 -2.2937 2.7585
-3.0647 0.3121 3.2881
Ca Ag Cd
1 1 2
Cartesian
-0.9742 -2.0194 -0.7164
-1.1436 -3.0102 2.3069
-1.5323 0.1561 1.6440
1.3630 -1.1468 1.3793
```

calculated formation energy = -80 kJ/mol of formula units

What is the calculated formation energy in the first record? -774 kJ/mol of formula units

Repeat the first record exactly.
Er2Tm2Pt3 | PBE | relaxed

POSCAR file:
```
Er2Tm2Pt3
1.0
8.1294 -2.4138 -0.0834
8.1294 2.4138 -0.0834
7.4550 0.0000 4.0427
Er Tm Pt
2 2 3
Cartesian
2.9689 0.0000 0.4852
20.7449 0.0000 3.3907
8.8851 0.0000 1.4522
14.8287 0.0000 2.4237
0.0000 0.0000 0.0000
5.8493 0.0000 0.9560
17.8645 0.0000 2.9199
```

calculated formation energy = -774 kJ/mol of formula units

Please write out number 3 again, unchanged.
CaCd2Ag | PBE | relaxed

POSCAR file:
```
CaCd2Ag
1.0
-1.9485 -4.0388 -1.4327
2.7259 -2.2937 2.7585
-3.0647 0.3121 3.2881
Ca Ag Cd
1 1 2
Cartesian
-0.9742 -2.0194 -0.7164
-1.1436 -3.0102 2.3069
-1.5323 0.1561 1.6440
1.3630 -1.1468 1.3793
```

calculated formation energy = -80 kJ/mol of formula units

Which of these has the lowest calculated formation energy? Er2Tm2Pt3